DFT (GGA-PBE) results for crystalline Pm3Ho3Cd2 at its relaxed geometry.

Calculated values
- DFT formation energy (eV per atom) = -0.0675
- total moment (μB/atom) = 0.000
- uncorrected energy (eV/atom) = -3.79

a = 5.275 Å, b = 6.438 Å, c = 15.787 Å
α = 90.00°, β = 90.00°, γ = 114.19°
Fractional coordinates of all 16 atoms:
Pm 0.962 0.923 0.394
Pm 0.038 0.077 0.894
Pm 0.962 0.923 0.106
Pm 0.038 0.077 0.606
Pm 0.734 0.467 0.250
Pm 0.266 0.533 0.750
Ho 0.643 0.287 0.465
Ho 0.357 0.713 0.965
Ho 0.643 0.287 0.035
Ho 0.357 0.713 0.535
Ho 0.454 0.908 0.250
Ho 0.546 0.092 0.750
Cd 0.766 0.533 0.866
Cd 0.234 0.467 0.366
Cd 0.766 0.533 0.634
Cd 0.234 0.467 0.134